Entry 1:
Computed, not measured: a relaxed Pm4AgIr crystal at the PBE level of DFT.

Properties
- Calculated volume: 667 Å³ per cell
- Space-group type: F-43m
- Size of the total moment: 0.000 μB/f.u.
- Energy above the most stable polymorph in this dataset: 0.000 eV per atom
- Total DFT energy (no corrections): -5.54 eV/atom
- Formation energy: -0.42 eV per atom

a b c (Å): 9.8089 9.8089 9.8089
angles (deg): 60.00 60.00 60.00
Positions (direct):
Pm: 0.1880 0.1880 0.8120
Pm: 0.1880 0.8120 0.1880
Pm: 0.1880 0.8120 0.8120
Pm: 0.3992 0.3992 0.3992
Pm: 0.3992 0.3992 0.8024
Pm: 0.3992 0.8024 0.3992
Pm: 0.5599 0.5599 0.9401
Pm: 0.5599 0.9401 0.5599
Pm: 0.5599 0.9401 0.9401
Pm: 0.8024 0.3992 0.3992
Pm: 0.8120 0.1880 0.1880
Pm: 0.8120 0.1880 0.8120
Pm: 0.8120 0.8120 0.1880
Pm: 0.9401 0.5599 0.5599
Pm: 0.9401 0.5599 0.9401
Pm: 0.9401 0.9401 0.5599
Ag: 0.1688 0.1688 0.1688
Ag: 0.1688 0.1688 0.4937
Ag: 0.1688 0.4937 0.1688
Ag: 0.4937 0.1688 0.1688
Ir: 0.1763 0.6079 0.6079
Ir: 0.6079 0.1763 0.6079
Ir: 0.6079 0.6079 0.1763
Ir: 0.6079 0.6079 0.6079



Entry 2:
Computed, not measured: a relaxed Tb3Cu2Ni crystal at the PBE level of DFT.

Properties
- Calculated volume: 124 Å³ per cell
- Space-group type: P4/mmm
- Size of the total moment: 0.000 μB/f.u.
- Energy above the most stable polymorph in this dataset: 0.000 eV per atom
- Total DFT energy (no corrections): -4.93 eV/atom
- Formation energy: -0.28 eV per atom

a b c (Å): 3.4415 3.4415 10.4502
angles (deg): 90.00 90.00 90.00
Positions (direct):
Tb: 0.0000 0.0000 0.0000
Tb: 0.0000 0.0000 0.3405
Tb: 0.0000 0.0000 0.6595
Cu: 0.5000 0.5000 0.1684
Cu: 0.5000 0.5000 0.8316
Ni: 0.5000 0.5000 0.5000



Entry 3:
Computed, not measured: a relaxed Sr3AsI crystal at the PBE level of DFT.

Properties
- Calculated volume: 223 Å³ per cell
- Space-group type: Pm-3m
- Size of the total moment: 0.000 μB/f.u.
- Energy above the most stable polymorph in this dataset: 0.000 eV per atom
- Total DFT energy (no corrections): -3.04 eV/atom

a b c (Å): 6.0626 6.0626 6.0626
angles (deg): 90.00 90.00 90.00
Positions (direct):
Sr: 0.0000 0.0000 0.5000
Sr: 0.0000 0.5000 0.0000
Sr: 0.5000 0.0000 0.0000
As: 0.0000 0.0000 0.0000
I: 0.5000 0.5000 0.5000



Entry 4:
Computed, not measured: a relaxed BaMg3P crystal at the PBE level of DFT.

Properties
- Calculated volume: 147 Å³ per cell
- Space-group type: Pm-3m
- Size of the total moment: 0.000 μB/f.u.
- Energy above the most stable polymorph in this dataset: 0.000 eV per atom
- Total DFT energy (no corrections): -2.46 eV/atom
- Formation energy: -0.04 eV per atom

a b c (Å): 5.2727 5.2727 5.2727
angles (deg): 90.00 90.00 90.00
Positions (direct):
Ba: 0.0000 0.0000 0.0000
Mg: 0.0000 0.5000 0.5000
Mg: 0.5000 0.0000 0.5000
Mg: 0.5000 0.5000 0.0000
P: 0.5000 0.5000 0.5000



Entry 5:
Computed, not measured: a relaxed SmMg3Cd crystal at the PBE level of DFT.

Properties
- Calculated volume: 508 Å³ per cell
- Space-group type: Pnma
- Size of the total moment: 0.000 μB/f.u.
- Energy above the most stable polymorph in this dataset: 0.000 eV per atom
- Total DFT energy (no corrections): -2.19 eV/atom
- Formation energy: -0.11 eV per atom

a b c (Å): 9.8173 3.9302 13.1590
angles (deg): 90.00 90.00 90.00
Positions (direct):
Sm: 0.1574 0.2500 0.0019
Sm: 0.3426 0.7500 0.5019
Sm: 0.6574 0.2500 0.4981
Sm: 0.8426 0.7500 0.9981
Mg: 0.0740 0.2500 0.4122
Mg: 0.0922 0.7500 0.2171
Mg: 0.1541 0.7500 0.7928
Mg: 0.3459 0.2500 0.2928
Mg: 0.4078 0.2500 0.7171
Mg: 0.4260 0.7500 0.9122
Mg: 0.5740 0.2500 0.0878
Mg: 0.5922 0.7500 0.2829
Mg: 0.6541 0.7500 0.7072
Mg: 0.8459 0.2500 0.2072
Mg: 0.9078 0.2500 0.7829
Mg: 0.9260 0.7500 0.5878
Cd: 0.1400 0.2500 0.6274
Cd: 0.3600 0.7500 0.1274
Cd: 0.6400 0.2500 0.8726
Cd: 0.8600 0.7500 0.3726



Entry 6:
Computed, not measured: a relaxed Fe2SeS crystal at the PBE level of DFT.

Properties
- Calculated volume: 53 Å³ per cell
- Space-group type: Fm-3m
- Size of the total moment: 3.593 μB/f.u.
- Energy above the most stable polymorph in this dataset: 0.605 eV per atom
- Total DFT energy (no corrections): -5.93 eV/atom

a b c (Å): 4.2033 4.2033 4.2033
angles (deg): 60.00 60.00 60.00
Positions (direct):
Fe: 0.2500 0.2500 0.2500
Fe: 0.7500 0.7500 0.7500
Se: 0.0000 0.0000 0.0000
S: 0.5000 0.5000 0.5000



Entry 7:
Computed, not measured: a relaxed LaBe3Bi crystal at the PBE level of DFT.

Properties
- Calculated volume: 114 Å³ per cell
- Space-group type: Pm-3m
- Size of the total moment: 0.000 μB/f.u.
- Energy above the most stable polymorph in this dataset: 0.000 eV per atom
- Total DFT energy (no corrections): -3.07 eV/atom
- Formation energy: 0.93 eV per atom

a b c (Å): 4.8517 4.8517 4.8517
angles (deg): 90.00 90.00 90.00
Positions (direct):
La: 0.0000 0.0000 0.0000
Be: 0.0000 0.5000 0.5000
Be: 0.5000 0.0000 0.5000
Be: 0.5000 0.5000 0.0000
Bi: 0.5000 0.5000 0.5000



Entry 8:
Computed, not measured: a relaxed KTmAgI6 crystal at the PBE level of DFT.

Properties
- Calculated volume: 407 Å³ per cell
- Space-group type: P1
- Size of the total moment: 0.002 μB/f.u.
- Total DFT energy (no corrections): -2.91 eV/atom

a b c (Å): 7.5713 7.5713 7.8285
angles (deg): 93.14 93.11 114.26
Positions (direct):
K: 0.0000 0.0000 0.0000
Tm: 0.3347 0.6656 0.4997
Ag: 0.6824 0.3196 0.4989
I: 0.0215 0.6231 0.2438
I: 0.0294 0.3578 0.6889
I: 0.3758 0.9788 0.7549
I: 0.4085 0.3718 0.2658
I: 0.6288 0.5922 0.7330
I: 0.6420 0.9710 0.3101